NpCo2GeN | GGA-PBE | optimized geometry

It has space group Cmcm (No. 63), with a = 3.480 Å, b = 11.239 Å, c = 6.819 Å, α = 90.00°, β = 90.00° and γ = 90.00°. The distinct sites, in fractional coordinates, are Np at (0.000, 0.036, 0.250), Co at (0.000, 0.337, 0.051), Ge at (0.000, 0.235, 0.750) and N at (0.000, 0.500, 0.000).

The calculation puts the energy relative to the elements, uncorrected at -48.3 kJ per mole of atoms. For the total energy, the calculation gives -8.520 eV per atom.

=====

CuSi2Pt | GGA-PBE | optimized geometry

It has space group R3m (No. 160, hexagonal axes), with a = 3.0322 Å, b = 3.0322 Å, c = 21.8643 Å, α = 90.00°, β = 90.00° and γ = 120.00°. The distinct sites, in fractional coordinates, are Cu at (0.0000, 0.0000, 0.0000), Si at (0.0000, 0.0000, 0.2564), Si at (0.0000, 0.0000, 0.5067) and Pt at (0.0000, 0.0000, 0.7621).

As for the offset from the most stable computed form: 0.181 eV/atom. The calculation puts the energy relative to the elements, uncorrected at -4.6 kJ per mole of atoms. For the total energy, the calculation gives -5.293 eV per atom.

=====

K2Ac2PaS6 | GGA-PBE | optimized geometry

It has space group C2/m (No. 12), with a = 7.543 Å, b = 12.860 Å, c = 7.881 Å, α = 90.00°, β = 108.03° and γ = 90.00°. The distinct sites, in fractional coordinates, are K at (0.000, 0.167, 0.000), Ac at (0.000, 0.335, 0.500), Pa at (0.000, 0.000, 0.500), S at (0.219, 0.157, 0.700) and S at (0.237, 0.000, 0.299).

The calculation puts the energy relative to the elements, uncorrected at -174.1 kJ per mole of atoms. For the total energy, the calculation gives -5.866 eV per atom.

=====

LaScAgBi | GGA-PBE | optimized geometry

It has space group F-43m (No. 216), with a = 7.521 Å, b = 7.521 Å, c = 7.521 Å, α = 90.00°, β = 90.00° and γ = 90.00°. The distinct sites, in fractional coordinates, are La at (0.000, 0.000, 0.000), Sc at (0.000, 0.000, 0.500), Ag at (0.250, 0.250, 0.250) and Bi at (0.250, 0.250, 0.750).

As for the formation energy from the elements: -0.40 eV per atom. For the total energy, the calculation gives -4.897 eV per atom.

=====

Per-record size of the total moment, μB per formula unit: 2.045, 0.000, 1.065, 0.328
Per-record ρ, g cm⁻³: 11.00, 9.01, 4.37, 7.82